Entry 1:
# LaDyY2Tm2 | Alexandria via LeMat-Bulk | PBE | optimized geometry
data_LaDyY2Tm2
_chemical_formula_sum 'La2 Dy2 Y4 Tm4'
_cell_length_a 6.484
_cell_length_b 17.998
_cell_length_c 3.405
_cell_angle_alpha 90.00
_cell_angle_beta 90.00
_cell_angle_gamma 90.00
_space_group_name_H-M_alt 'P 1'
_space_group_IT_number 1
loop_
_space_group_symop_operation_xyz
'x,y,z'
loop_
_atom_site_label
_atom_site_type_symbol
_atom_site_fract_x
_atom_site_fract_y
_atom_site_fract_z
La1 La 0.000 0.000 0.000
La2 La 0.500 0.500 0.500
Dy1 Dy 0.000 0.500 0.000
Dy2 Dy 0.500 0.000 0.500
Y1 Y 0.213 0.191 0.000
Y2 Y 0.287 0.691 0.500
Y3 Y 0.713 0.309 0.500
Y4 Y 0.787 0.809 0.000
Tm1 Tm 0.210 0.354 0.500
Tm2 Tm 0.290 0.854 0.000
Tm3 Tm 0.710 0.146 0.000
Tm4 Tm 0.790 0.646 0.500
# Formation energy in meV/atom: 270.9

Entry 2:
# La4Dy2Y2Tm | Alexandria via LeMat-Bulk | PBE | optimized geometry
data_La4Dy2Y2Tm
_chemical_formula_sum 'La4 Dy2 Y2 Tm1'
_cell_length_a 9.613
_cell_length_b 9.613
_cell_length_c 8.893
_cell_angle_alpha 90.09
_cell_angle_beta 90.09
_cell_angle_gamma 21.86
_space_group_name_H-M_alt 'P 1'
_space_group_IT_number 1
loop_
_space_group_symop_operation_xyz
'x,y,z'
loop_
_atom_site_label
_atom_site_type_symbol
_atom_site_fract_x
_atom_site_fract_y
_atom_site_fract_z
La1 La 0.054 0.054 0.326
La2 La 0.277 0.277 0.671
La3 La 0.723 0.723 0.329
La4 La 0.946 0.946 0.674
Dy1 Dy 0.389 0.389 0.331
Dy2 Dy 0.611 0.611 0.669
Y1 Y 0.165 0.165 0.997
Y2 Y 0.835 0.835 0.003
Tm1 Tm 0.500 0.500 0.000
# Formation energy in meV/atom: 28.3

Entry 3:
# LaDy6Y2Tm3 | Alexandria via LeMat-Bulk | PBE | optimized geometry
data_LaDy6Y2Tm3
_chemical_formula_sum 'La1 Dy6 Y2 Tm3'
_cell_length_a 6.148
_cell_length_b 6.148
_cell_length_c 11.778
_cell_angle_alpha 94.98
_cell_angle_beta 94.98
_cell_angle_gamma 119.96
_space_group_name_H-M_alt 'P 1'
_space_group_IT_number 1
loop_
_space_group_symop_operation_xyz
'x,y,z'
loop_
_atom_site_label
_atom_site_type_symbol
_atom_site_fract_x
_atom_site_fract_y
_atom_site_fract_z
La1 La 0.000 0.000 0.000
Dy1 Dy 0.086 0.420 0.255
Dy2 Dy 0.249 0.249 0.745
Dy3 Dy 0.420 0.086 0.255
Dy4 Dy 0.580 0.914 0.745
Dy5 Dy 0.751 0.751 0.255
Dy6 Dy 0.914 0.580 0.745
Y1 Y 0.333 0.667 0.000
Y2 Y 0.667 0.333 0.000
Tm1 Tm 0.167 0.833 0.500
Tm2 Tm 0.500 0.500 0.500
Tm3 Tm 0.833 0.167 0.500
# Formation energy in meV/atom: 25.3

Entry 4:
# La3Dy6YTm2 | Alexandria via LeMat-Bulk | PBE | optimized geometry
data_La3Dy6YTm2
_chemical_formula_sum 'La3 Dy6 Y1 Tm2'
_cell_length_a 6.218
_cell_length_b 6.218
_cell_length_c 11.876
_cell_angle_alpha 95.01
_cell_angle_beta 95.01
_cell_angle_gamma 120.02
_space_group_name_H-M_alt 'P 1'
_space_group_IT_number 1
loop_
_space_group_symop_operation_xyz
'x,y,z'
loop_
_atom_site_label
_atom_site_type_symbol
_atom_site_fract_x
_atom_site_fract_y
_atom_site_fract_z
La1 La 0.000 0.000 0.000
La2 La 0.333 0.667 0.000
La3 La 0.667 0.333 0.000
Dy1 Dy 0.085 0.419 0.257
Dy2 Dy 0.247 0.247 0.743
Dy3 Dy 0.419 0.085 0.257
Dy4 Dy 0.581 0.915 0.743
Dy5 Dy 0.753 0.753 0.257
Dy6 Dy 0.915 0.581 0.743
Y1 Y 0.500 0.500 0.500
Tm1 Tm 0.167 0.833 0.500
Tm2 Tm 0.833 0.167 0.500
# Formation energy in meV/atom: 25.4

Entry 5:
# La2Dy2Y6Tm | Alexandria via LeMat-Bulk | PBE | optimized geometry
data_La2Dy2Y6Tm
_chemical_formula_sum 'La2 Dy2 Y6 Tm1'
_cell_length_a 6.109
_cell_length_b 6.109
_cell_length_c 11.732
_cell_angle_alpha 93.82
_cell_angle_beta 93.82
_cell_angle_gamma 118.62
_space_group_name_H-M_alt 'P 1'
_space_group_IT_number 1
loop_
_space_group_symop_operation_xyz
'x,y,z'
loop_
_atom_site_label
_atom_site_type_symbol
_atom_site_fract_x
_atom_site_fract_y
_atom_site_fract_z
La1 La 0.180 0.820 0.000
La2 La 0.820 0.180 0.000
Dy1 Dy 0.336 0.664 0.500
Dy2 Dy 0.664 0.336 0.500
Y1 Y 0.065 0.399 0.742
Y2 Y 0.269 0.269 0.249
Y3 Y 0.399 0.065 0.742
Y4 Y 0.601 0.935 0.258
Y5 Y 0.731 0.731 0.751
Y6 Y 0.935 0.601 0.258
Tm1 Tm 0.000 0.000 0.500
# Formation energy in meV/atom: 184.5

Entry 6:
# La2DyY2Tm | Alexandria via LeMat-Bulk | PBE | optimized geometry
data_La2DyY2Tm
_chemical_formula_sum 'La4 Dy2 Y4 Tm2'
_cell_length_a 6.596
_cell_length_b 18.342
_cell_length_c 3.404
_cell_angle_alpha 90.00
_cell_angle_beta 90.00
_cell_angle_gamma 90.00
_space_group_name_H-M_alt 'P 1'
_space_group_IT_number 1
loop_
_space_group_symop_operation_xyz
'x,y,z'
loop_
_atom_site_label
_atom_site_type_symbol
_atom_site_fract_x
_atom_site_fract_y
_atom_site_fract_z
La1 La 0.224 0.186 0.000
La2 La 0.276 0.686 0.500
La3 La 0.724 0.314 0.500
La4 La 0.776 0.814 0.000
Dy1 Dy 0.000 0.500 0.000
Dy2 Dy 0.500 0.000 0.500
Y1 Y 0.220 0.356 0.500
Y2 Y 0.280 0.856 0.000
Y3 Y 0.720 0.144 0.000
Y4 Y 0.780 0.644 0.500
Tm1 Tm 0.000 0.000 0.000
Tm2 Tm 0.500 0.500 0.500
# Formation energy in meV/atom: 268.8

Entry 7:
# LaDy2Y5Tm | Alexandria via LeMat-Bulk | PBE | optimized geometry
data_LaDy2Y5Tm
_chemical_formula_sum 'La2 Dy4 Y10 Tm2'
_cell_length_a 9.763
_cell_length_b 9.763
_cell_length_c 9.763
_cell_angle_alpha 125.31
_cell_angle_beta 125.31
_cell_angle_gamma 81.02
_space_group_name_H-M_alt 'P 1'
_space_group_IT_number 1
loop_
_space_group_symop_operation_xyz
'x,y,z'
loop_
_atom_site_label
_atom_site_type_symbol
_atom_site_fract_x
_atom_site_fract_y
_atom_site_fract_z
La1 La 0.250 0.250 0.000
La2 La 0.750 0.750 0.000
Dy1 Dy 0.113 0.613 0.725
Dy2 Dy 0.387 0.113 0.500
Dy3 Dy 0.613 0.887 0.500
Dy4 Dy 0.887 0.387 0.275
Y1 Y 0.000 0.000 0.000
Y2 Y 0.073 0.164 0.500
Y3 Y 0.164 0.664 0.091
Y4 Y 0.336 0.427 0.500
Y5 Y 0.427 0.927 0.091
Y6 Y 0.500 0.500 0.000
Y7 Y 0.573 0.073 0.909
Y8 Y 0.664 0.573 0.500
Y9 Y 0.836 0.336 0.909
Y10 Y 0.927 0.836 0.500
Tm1 Tm 0.250 0.750 0.500
Tm2 Tm 0.750 0.250 0.500
# Formation energy in meV/atom: 275.0

Entry 8:
# La3Dy2Y6Tm | Alexandria via LeMat-Bulk | PBE | optimized geometry
data_La3Dy2Y6Tm
_chemical_formula_sum 'La3 Dy2 Y6 Tm1'
_cell_length_a 6.249
_cell_length_b 6.249
_cell_length_c 11.902
_cell_angle_alpha 95.02
_cell_angle_beta 95.02
_cell_angle_gamma 120.00
_space_group_name_H-M_alt 'P 1'
_space_group_IT_number 1
loop_
_space_group_symop_operation_xyz
'x,y,z'
loop_
_atom_site_label
_atom_site_type_symbol
_atom_site_fract_x
_atom_site_fract_y
_atom_site_fract_z
La1 La 0.000 0.000 0.000
La2 La 0.333 0.667 0.000
La3 La 0.667 0.333 0.000
Dy1 Dy 0.167 0.833 0.500
Dy2 Dy 0.833 0.167 0.500
Y1 Y 0.086 0.419 0.256
Y2 Y 0.248 0.248 0.744
Y3 Y 0.419 0.086 0.256
Y4 Y 0.581 0.914 0.744
Y5 Y 0.752 0.752 0.256
Y6 Y 0.914 0.581 0.744
Tm1 Tm 0.500 0.500 0.500
# Formation energy in meV/atom: 22.5